The following is a DFT calculation (PBE) of an optimized crystal structure of Ce2DyIr.

Summary:
- total magnetic moment (μB per cell) = 0.0
- N(E_F) (states/eV/atom) = 2.216
- polymorph energy (0 for the lowest one) (eV per atom) = 0.1662
- energy (eV per atom) = -6.602
- energy of formation from the pure elements (meV per atom) = -270
- theoretical density (g cm⁻³) = 9.0

POSCAR file:
```
Ce2DyIr
1.0
1.950 1.126 8.905
-1.950 1.126 8.905
0.000 -2.252 8.905
Ce Dy Ir
2 1 1
Cartesian
0.000 0.000 0.000
0.000 0.000 5.590
0.000 0.000 20.602
0.000 0.000 16.155
```


The following is a DFT calculation (PBE) of an optimized crystal structure of TbPmAg6.

Summary:
- total magnetic moment (μB per cell) = 0.0
- N(E_F) (states/eV/atom) = 0.132
- energy (eV per atom) = -3.550
- energy of formation from the pure elements (meV per atom) = -239
- theoretical density (g cm⁻³) = 9.3

POSCAR file:
```
TbPmAg6
1.0
4.152 2.397 2.836
-4.152 2.397 2.836
0.000 -4.795 2.836
Tb Pm Ag
1 1 6
Cartesian
0.000 0.000 0.000
0.000 0.000 4.253
-2.983 -0.344 3.547
-1.193 -2.755 4.959
1.789 -2.411 3.547
-1.789 2.411 4.959
1.193 2.755 3.547
2.983 0.344 4.959
```


The following is a DFT calculation (PBE) of an optimized crystal structure of InAg2AuBr6.

Summary:
- total magnetic moment (μB per cell) = 0.0
- energy (eV per atom) = -2.621
- theoretical density (g cm⁻³) = 5.4

POSCAR file:
```
InAg2AuBr6
1.0
7.228 0.000 0.000
3.614 6.260 0.000
0.004 4.168 6.799
In Ag Au Br
1 2 1 6
Cartesian
0.000 0.000 0.000
3.618 6.254 5.460
7.228 4.173 0.081
3.613 2.088 1.579
2.430 4.398 1.677
4.863 8.591 5.227
5.818 6.167 1.676
5.019 4.007 5.227
6.206 1.956 1.676
8.200 6.165 5.227
```


> Which of these has the lowest theoretical density?

InAg2AuBr6